Record 1
# CsErFeS3, relaxed, DFT PBE
data_CsErFeS3
_chemical_formula_sum 'Cs2 Er2 Fe2 S6'
_cell_length_a 9.3092
_cell_length_b 3.9737
_cell_length_c 9.8725
_cell_angle_alpha 90.00
_cell_angle_beta 112.59
_cell_angle_gamma 90.00
_symmetry_space_group_name_H-M 'P 1 21/m 1'
_symmetry_Int_Tables_number 11
_symmetry_space_group_name_Hall '-P 2yb'
loop_
_atom_site_label
_atom_site_fract_x
_atom_site_fract_y
_atom_site_fract_z
Cs1 0.2228 0.2500 0.2497
Er1 0.3329 0.7500 0.8558
Fe1 0.0761 0.2500 0.5947
S1 0.1218 0.2500 0.8394
S2 0.1924 0.7500 0.5477
S3 0.4714 0.7500 0.1484
# **Electronic total energy**: -5.705 eV per atom
# **Mass density**: 4.5 g cm⁻³

---

Record 2
# Gd2Ge2Ir, relaxed, DFT PBE
data_Gd2Ge2Ir
_chemical_formula_sum 'Gd8 Ge8 Ir4'
_cell_length_a 10.6432
_cell_length_b 4.3235
_cell_length_c 10.4091
_cell_angle_alpha 90.00
_cell_angle_beta 117.05
_cell_angle_gamma 90.00
_symmetry_space_group_name_H-M 'C 1 2/m 1'
_symmetry_Int_Tables_number 12
_symmetry_space_group_name_Hall '-C 2y'
loop_
_atom_site_label
_atom_site_fract_x
_atom_site_fract_y
_atom_site_fract_z
Gd1 0.0068 0.0000 0.3296
Gd2 0.1895 0.0000 0.1186
Ge1 0.0192 0.5000 0.8840
Ge2 0.1485 0.5000 0.5531
Ir1 0.2278 0.5000 0.3364
# **Electronic total energy**: -6.393 eV per atom
# **Mass density**: 10.2 g cm⁻³

---

Record 3
# Li4Cd2SnPd, relaxed, DFT PBE
data_Li4Cd2SnPd
_chemical_formula_sum 'Li4 Cd2 Sn1 Pd1'
_cell_length_a 4.6003
_cell_length_b 4.6003
_cell_length_c 6.5540
_cell_angle_alpha 90.00
_cell_angle_beta 90.00
_cell_angle_gamma 90.00
_symmetry_space_group_name_H-M 'P -4 m 2'
_symmetry_Int_Tables_number 115
_symmetry_space_group_name_Hall 'P -4 -2'
loop_
_atom_site_label
_atom_site_fract_x
_atom_site_fract_y
_atom_site_fract_z
Li1 0.0000 0.0000 0.0000
Li2 0.0000 0.5000 0.7289
Li3 0.5000 0.5000 0.5000
Cd1 0.0000 0.5000 0.2678
Sn1 0.5000 0.5000 0.0000
Pd1 0.0000 0.0000 0.5000
# **Electronic total energy**: -2.689 eV per atom
# **Mass density**: 5.7 g cm⁻³

---

Record 4
# KLaDy, relaxed, DFT PBE
data_KLaDy
_chemical_formula_sum 'K4 La4 Dy4'
_cell_length_a 8.1427
_cell_length_b 8.1427
_cell_length_c 8.1427
_cell_angle_alpha 90.00
_cell_angle_beta 90.00
_cell_angle_gamma 90.00
_symmetry_space_group_name_H-M 'F -4 3 m'
_symmetry_Int_Tables_number 216
_symmetry_space_group_name_Hall 'F -4 2 3'
loop_
_atom_site_label
_atom_site_fract_x
_atom_site_fract_y
_atom_site_fract_z
K1 0.0000 0.0000 0.0000
La1 0.2500 0.2500 0.2500
Dy1 0.2500 0.2500 0.7500
# **Electronic total energy**: -2.369 eV per atom
# **Mass density**: 4.2 g cm⁻³

---

Record 5
# ThSi2N2, relaxed, DFT PBE
data_ThSi2N2
_chemical_formula_sum 'Th2 Si4 N4'
_cell_length_a 6.5282
_cell_length_b 6.5282
_cell_length_c 3.3401
_cell_angle_alpha 90.00
_cell_angle_beta 90.00
_cell_angle_gamma 90.00
_symmetry_space_group_name_H-M 'P 4/m b m'
_symmetry_Int_Tables_number 127
_symmetry_space_group_name_Hall '-P 4 2ab'
loop_
_atom_site_label
_atom_site_fract_x
_atom_site_fract_y
_atom_site_fract_z
Th1 0.0000 0.0000 0.0000
Si1 0.1447 0.3553 0.5000
N1 0.1467 0.6467 0.5000
# **Electronic total energy**: -6.898 eV per atom
# **Mass density**: 7.4 g cm⁻³

---

Record 6
# PuIn, relaxed, DFT PBE
data_PuIn
_chemical_formula_sum 'Pu2 In2'
_cell_length_a 5.5313
_cell_length_b 3.2925
_cell_length_c 5.7162
_cell_angle_alpha 90.00
_cell_angle_beta 90.00
_cell_angle_gamma 90.00
_symmetry_space_group_name_H-M 'A m m 2'
_symmetry_Int_Tables_number 38
_symmetry_space_group_name_Hall 'A 2 -2'
loop_
_atom_site_label
_atom_site_fract_x
_atom_site_fract_y
_atom_site_fract_z
Pu1 0.0000 0.0000 0.0000
In1 0.5000 0.0000 0.3333
# **Electronic total energy**: -8.550 eV per atom
# **Mass density**: 11.4 g cm⁻³

---

Record 7
# HoCuSnTeSe2, relaxed, DFT PBE
data_HoCuSnTeSe2
_chemical_formula_sum 'Ho4 Cu4 Sn4 Te4 Se8'
_cell_length_a 4.0698
_cell_length_b 13.7799
_cell_length_c 11.0374
_cell_angle_alpha 90.00
_cell_angle_beta 90.00
_cell_angle_gamma 90.00
_symmetry_space_group_name_H-M 'C m c m'
_symmetry_Int_Tables_number 63
_symmetry_space_group_name_Hall '-C 2c 2'
loop_
_atom_site_label
_atom_site_fract_x
_atom_site_fract_y
_atom_site_fract_z
Ho1 0.0000 0.0000 0.0000
Cu1 0.0000 0.4680 0.2500
Sn1 0.0000 0.2155 0.7500
Te1 0.0000 0.0941 0.2500
Se1 0.0000 0.3639 0.0674
# **Electronic total energy**: -4.581 eV per atom
# **Mass density**: 6.8 g cm⁻³

---

Record 8
# KTl3In3Cu4, relaxed, DFT PBE
data_KTl3In3Cu4
_chemical_formula_sum 'K1 Tl3 In3 Cu4'
_cell_length_a 7.9467
_cell_length_b 7.9467
_cell_length_c 4.5031
_cell_angle_alpha 90.00
_cell_angle_beta 90.00
_cell_angle_gamma 120.00
_symmetry_space_group_name_H-M 'P -6 m 2'
_symmetry_Int_Tables_number 187
_symmetry_space_group_name_Hall 'P -6 2'
loop_
_atom_site_label
_atom_site_fract_x
_atom_site_fract_y
_atom_site_fract_z
K1 0.0000 0.0000 0.0000
Tl1 0.3804 0.1902 0.5000
In1 0.0681 0.5341 0.0000
Cu1 0.2256 0.4511 0.5000
Cu2 0.6667 0.3333 0.0000
# **Electronic total energy**: -2.801 eV per atom
# **Mass density**: 8.4 g cm⁻³